Tl4Cd5Hg6: relaxed, PBE.

D(E_F) ... 13.15 states/eV/cell
Density ... 10.5 Mg/m³
Space group ... Cmc2_1, No. 36
Uncorrected energy ... -31.024 eV per cell

a = 13.656 Å, b = 13.656 Å, c = 17.391 Å
α = 90.00°, β = 90.00°, γ = 165.46°
Fractional positions:
Tl 0.022 0.978 0.500
Tl 0.037 0.963 0.806
Tl 0.165 0.835 0.302
Tl 0.180 0.820 0.950
Tl 0.820 0.180 0.450
Tl 0.835 0.165 0.802
Tl 0.963 0.037 0.306
Tl 0.978 0.022 0.000
Cd 0.171 0.829 0.630
Cd 0.283 0.717 0.621
Cd 0.359 0.641 0.290
Cd 0.374 0.626 0.980
Cd 0.467 0.533 0.659
Cd 0.533 0.467 0.159
Cd 0.626 0.374 0.480
Cd 0.641 0.359 0.790
Cd 0.717 0.283 0.121
Cd 0.829 0.171 0.130
Hg 0.123 0.877 0.126
Hg 0.220 0.780 0.470
Hg 0.235 0.765 0.780
Hg 0.422 0.578 0.468
Hg 0.424 0.576 0.144
Hg 0.435 0.565 0.829
Hg 0.565 0.435 0.329
Hg 0.576 0.424 0.644
Hg 0.578 0.422 0.968
Hg 0.765 0.235 0.280
Hg 0.780 0.220 0.970
Hg 0.877 0.123 0.626